First-principles (GGA-PBE) data for LaGe2OsRu after structural relaxation, as listed in Alexandria.

The structure in POSCAR format:
```
LaGe2OsRu
1.0
4.324 0.000 0.000
0.000 4.324 0.000
-2.162 -2.162 5.108
Os Ru Ge La
1 1 2 1
direct
0.750 0.250 0.500 Os
0.250 0.750 0.500 Ru
0.634 0.634 0.267 Ge
0.366 0.366 0.733 Ge
0.000 0.000 0.000 La
```

Results
E_form in eV per atom: -0.557
Space group: I-4m2, No. 119
E_tot in Ry/atom: -0.55053

=====

First-principles (GGA-PBE) data for LaGeSbOs2 after structural relaxation, as listed in Alexandria.

The structure in POSCAR format:
```
LaGeSbOs2
1.0
-4.399 0.258 -2.164
-2.588 -2.059 5.016
-0.526 4.605 1.618
La Os Ge Sb
1 2 1 1
direct
0.000 0.000 0.000 La
0.500 0.000 0.000 Os
0.000 0.000 0.500 Os
0.500 0.500 0.500 Ge
0.000 0.500 0.000 Sb
```

Results
Raw formation energy in eV per atom: 2.202
Space group: P4/mmm, No. 123
E_tot in Ry/atom: -0.36922

=====

Which size of the total moment belongs to each record? In order, 0.0 2.0 μB per cell.